This record from the Alexandria database describes an optimized crystal structure of ZnCoO2. The functional is GGA+U.

Output
**Symmetry**: P1 (1)
**Raw total energy**: -5.03 eV per atom

a = 2.979 Å, b = 5.749 Å, c = 5.994 Å
α = 62.86°, β = 85.19°, γ = 77.48°
Fractional positions:
Zn 0.000 0.000 0.000
Zn 0.469 0.004 0.505
Co 0.167 0.493 0.951
Co 0.647 0.488 0.457
O 0.148 0.394 0.687
O 0.148 0.582 0.225
O 0.424 0.121 0.152
O 0.980 0.871 0.741